--- A ---
VASP calculation (PBE-GGA) on RbNa2Se2 after structural relaxation.

The structure in CIF format:
```
data_RbNa2Se2
_cell_length_a 4.891
_cell_length_b 4.891
_cell_length_c 12.602
_cell_angle_alpha 90.00
_cell_angle_beta 90.00
_cell_angle_gamma 90.00
_space_group_name_H-M_alt 'I 4/m m m'
_space_group_IT_number 139
_space_group_name_Hall '-I 4 2'
loop_
_atom_site_label
_atom_site_fract_x
_atom_site_fract_y
_atom_site_fract_z
Rb1 0.000 0.000 0.000
Na1 0.000 0.500 0.250
Se1 0.000 0.000 0.378
```

--- B ---
VASP calculation (PBE-GGA) on RbNa2Se2 after structural relaxation.

The structure in CIF format:
```
data_RbNa2Se2
_cell_length_a 8.790
_cell_length_b 8.790
_cell_length_c 3.383
_cell_angle_alpha 90.00
_cell_angle_beta 90.00
_cell_angle_gamma 90.00
_space_group_name_H-M_alt 'P 4/m b m'
_space_group_IT_number 127
_space_group_name_Hall '-P 4 2ab'
loop_
_atom_site_label
_atom_site_fract_x
_atom_site_fract_y
_atom_site_fract_z
Rb1 0.000 0.000 0.000
Na1 0.123 0.377 0.000
Se1 0.172 0.672 0.500
```

Sorted by energy, starting with the most stable: B, A.